The following is a DFT calculation (PBE-GGA) of an optimized crystal structure of SmY3Rh.

energy of formation from the pure elements = -0.2363 eV per atom
energy above the lowest structure with this stoichiometry = 5.06 kJ per mole of atoms

```
SmY3Rh
1.0
5.435 0.000 0.000
0.000 5.435 0.000
0.000 0.000 5.435
Sm Y Rh
1 3 1
Direct
0.000 0.000 0.000
0.000 0.500 0.500
0.500 0.000 0.500
0.500 0.500 0.000
0.500 0.500 0.500
```